{"formula": "HoTl2", "functional": "PBE", "state": "optimized geometry", "dos_ef_per_ev_atom": 0.617, "e_form_ev_per_atom": -0.19, "spacegroup": "Cmcm", "total_energy_ev_per_cell": -19.7, "volume_a3_per_cell": 166, "cell": [[4.2530, 0.0000, 0.0000], [0.0000, 4.9227, 0.0000], [0.0000, -2.4613, 7.9068]], "species": ["Tl", "Tl", "Ho", "Tl", "Tl", "Ho"], "frac_coords": [[0.2500, 0.5740, 0.1479], [0.7500, 0.7369, 0.4738], [0.2500, 0.9092, 0.8183], [0.7500, 0.4260, 0.8521], [0.2500, 0.2631, 0.5262], [0.7500, 0.0908, 0.1817]]}